# 1
# HfScPa2 GGA-PBE relaxed
# space-group type = No. 225
# energy of formation from the pure elements = 0.3497 eV/atom
# N(E_F) = 11.33 states/eV per cell
# E above lowest polymorph = 26.0 kJ per mole of atoms
# total magnetic moment = 0.018 μB per cell
data_HfScPa2
_chemical_formula_sum 'Hf1 Sc1 Pa2'
_cell_length_a 5.1713
_cell_length_b 5.1713
_cell_length_c 5.1693
_cell_angle_alpha 59.99
_cell_angle_beta 59.99
_cell_angle_gamma 60.00
_space_group_name_H-M_alt 'P 1'
_space_group_IT_number 1
_space_group_name_Hall 'P 1'
loop_
_atom_site_label
_atom_site_fract_x
_atom_site_fract_y
_atom_site_fract_z
Sc1 0.5000 0.5000 0.5000
Pa1 0.7500 0.7500 0.7500
Pa2 0.2500 0.2500 0.2500
Hf1 0.0000 0.0000 0.0000

***

# 2
# Pr2ThF11 GGA-PBE relaxed
# E_form (uncorrected) = -52.64 eV per formula unit
# space-group type = No. 72
# total magnetic moment = 2.280 μB per cell
data_Pr2ThF11
_chemical_formula_sum 'Pr4 Th2 F22'
_cell_length_a 8.7600
_cell_length_b 9.0253
_cell_length_c 9.0253
_cell_angle_alpha 72.34
_cell_angle_beta 60.97
_cell_angle_gamma 60.97
_space_group_name_H-M_alt 'P 1'
_space_group_IT_number 1
_space_group_name_Hall 'P 1'
loop_
_atom_site_label
_atom_site_fract_x
_atom_site_fract_y
_atom_site_fract_z
Pr1 0.6628 0.6905 0.3095
Pr2 0.3372 0.3095 0.6905
Pr3 0.8372 0.1905 0.8095
Pr4 0.1628 0.8095 0.1905
Th1 0.7500 0.7500 0.7500
Th2 0.2500 0.2500 0.2500
F1 0.6648 0.7120 0.5586
F2 0.3352 0.2880 0.4414
F3 0.0646 0.5586 0.7120
F4 0.8352 0.9414 0.7880
F5 0.9354 0.4414 0.2880
F6 0.1648 0.0586 0.2120
F7 0.4354 0.7880 0.9414
F8 0.5646 0.2120 0.0586
F9 0.5000 0.5000 0.5000
F10 0.0000 0.0000 0.0000
F11 0.8915 0.8149 0.1851
F12 0.1085 0.1851 0.8149
F13 0.6085 0.3149 0.6851
F14 0.3915 0.6851 0.3149
F15 0.4542 0.9747 0.3112
F16 0.5458 0.0253 0.6888
F17 0.2600 0.3112 0.9747
F18 0.0458 0.1888 0.5253
F19 0.7400 0.6888 0.0253
F20 0.9542 0.8112 0.4747
F21 0.2400 0.5253 0.1888
F22 0.7600 0.4747 0.8112

***

# 3
# RbCrSbTe3 GGA-PBE relaxed
# E_form (uncorrected) = -1.53 eV per formula unit
# space-group type = No. 11
# N(E_F) = 4.79 states/eV per cell
# total magnetic moment = 3.097 μB per cell
data_RbCrSbTe3
_chemical_formula_sum 'Rb2 Cr2 Sb2 Te6'
_cell_length_a 3.8143
_cell_length_b 9.4977
_cell_length_c 10.9576
_cell_angle_alpha 110.43
_cell_angle_beta 90.00
_cell_angle_gamma 90.00
_space_group_name_H-M_alt 'P 1'
_space_group_IT_number 1
_space_group_name_Hall 'P 1'
loop_
_atom_site_label
_atom_site_fract_x
_atom_site_fract_y
_atom_site_fract_z
Rb1 0.2500 0.2116 0.2762
Rb2 0.7500 0.7884 0.7238
Cr1 0.2500 0.6812 0.1647
Cr2 0.7500 0.3188 0.8353
Sb1 0.2500 0.1492 0.6463
Sb2 0.7500 0.8508 0.3537
Te1 0.7500 0.8568 0.0921
Te2 0.2500 0.1432 0.9079
Te3 0.2500 0.6276 0.4073
Te4 0.7500 0.3724 0.5927
Te5 0.7500 0.4577 0.1080
Te6 0.2500 0.5423 0.8920

***

# 4
# Tb2SmHo6 GGA-PBE relaxed
# space-group type = No. 160
# energy of formation from the pure elements = 0.3868 eV/atom
# N(E_F) = 14.04 states/eV per cell
# E above lowest polymorph = 30.5 kJ per mole of atoms
# total magnetic moment = 0.000 μB per cell
data_Tb2SmHo6
_chemical_formula_sum 'Tb2 Sm1 Ho6'
_cell_length_a 6.9251
_cell_length_b 6.9251
_cell_length_c 8.5866
_cell_angle_alpha 66.22
_cell_angle_beta 66.22
_cell_angle_gamma 60.00
_space_group_name_H-M_alt 'P 1'
_space_group_IT_number 1
_space_group_name_Hall 'P 1'
loop_
_atom_site_label
_atom_site_fract_x
_atom_site_fract_y
_atom_site_fract_z
Tb1 0.7459 0.7459 0.7622
Tb2 0.5816 0.5816 0.2551
Sm1 0.3346 0.3346 0.9961
Ho1 0.7717 0.2806 0.6670
Ho2 0.2807 0.7717 0.6670
Ho3 0.2806 0.2807 0.6670
Ho4 0.0539 0.5626 0.3295
Ho5 0.0540 0.0539 0.3295
Ho6 0.5626 0.0540 0.3295

***

# 5
# Ce3Tl3RuSe8 GGA-PBE relaxed
# E_form (uncorrected) = -15.90 eV per formula unit
# space-group type = No. 166
# N(E_F) = 13.22 states/eV per cell
# total magnetic moment = 1.038 μB per cell
data_Ce3Tl3RuSe8
_chemical_formula_sum 'Ce3 Tl3 Ru1 Se8'
_cell_length_a 8.1448
_cell_length_b 8.1427
_cell_length_c 9.2772
_cell_angle_alpha 116.03
_cell_angle_beta 90.00
_cell_angle_gamma 120.01
_space_group_name_H-M_alt 'P 1'
_space_group_IT_number 1
_space_group_name_Hall 'P 1'
loop_
_atom_site_label
_atom_site_fract_x
_atom_site_fract_y
_atom_site_fract_z
Ce1 0.5000 0.0000 0.5000
Ce2 0.5000 0.5000 0.5000
Ce3 0.0000 0.5000 0.5000
Tl1 0.0000 0.0000 0.0000
Tl2 0.0000 0.5000 0.0000
Tl3 0.5000 0.5000 0.0000
Ru1 0.0000 0.0000 0.5000
Se1 0.2620 0.5240 0.2862
Se2 0.7380 0.4760 0.7138
Se3 0.7851 0.5703 0.3082
Se4 0.2149 0.4297 0.6918
Se5 0.7852 0.0228 0.3083
Se6 0.2148 0.9772 0.6917
Se7 0.2376 0.0228 0.3083
Se8 0.7624 0.9772 0.6917